# 1
## SrFeAg3 (PBE)

Data for SrFeAg3 after structural relaxation.

Results
Magnetization in μB/f.u.: 2.8
DOS(E_F) in states/eV/cell: 3.6
ΔE_f in meV per atom: 312

Lattice parameters (Å, degrees): 4.997 4.997 4.997 90.00 90.00 90.00
Sites, in units of the cell vectors:
1 Sr 0.000 0.000 0.000
2 Fe 0.500 0.500 0.500
3 Ag 0.000 0.500 0.500
4 Ag 0.500 0.000 0.500
5 Ag 0.500 0.500 0.000

# 2
## DyLu2Mg (PBE)

Data for DyLu2Mg after structural relaxation.

Results
Magnetization in μB/f.u.: 0.0
DOS(E_F) in states/eV/cell: 7.8
ΔE_f in meV per atom: 36

Lattice parameters (Å, degrees): 4.831 4.831 4.879 90.00 90.00 90.00
Sites, in units of the cell vectors:
1 Dy 0.000 0.000 0.000
2 Lu 0.000 0.500 0.500
3 Lu 0.500 0.000 0.500
4 Mg 0.500 0.500 0.000

# 3
## PrYHo2Tm2 (PBE)

Data for PrYHo2Tm2 after structural relaxation.

Results
Magnetization in μB/f.u.: 0.0
DOS(E_F) in states/eV/cell: 18.6
ΔE_f in meV per atom: 73

Lattice parameters (Å, degrees): 6.922 9.775 5.606 90.00 90.00 90.00
Sites, in units of the cell vectors:
1 Pr 0.000 0.000 0.000
2 Pr 0.500 0.500 0.500
3 Y 0.000 0.500 0.500
4 Y 0.500 0.000 0.000
5 Ho 0.248 0.333 0.000
6 Ho 0.252 0.833 0.500
7 Ho 0.748 0.167 0.500
8 Ho 0.752 0.667 0.000
9 Tm 0.249 0.667 0.000
10 Tm 0.251 0.167 0.500
11 Tm 0.749 0.833 0.500
12 Tm 0.751 0.333 0.000

# 4
## PrPaSiN4 (PBE)

Data for PrPaSiN4 after structural relaxation.

Results
Magnetization in μB/f.u.: 0.0
Uncorrected formation energy in eV/atom: -1.30

Lattice parameters (Å, degrees): 5.550 5.547 6.846 90.00 107.53 90.00
Sites, in units of the cell vectors:
1 Pr 0.216 0.250 0.427
2 Pr 0.784 0.750 0.573
3 Pa 0.279 0.250 0.953
4 Pa 0.721 0.750 0.047
5 Si 0.257 0.750 0.186
6 Si 0.743 0.250 0.814
7 N 0.055 0.750 0.339
8 N 0.056 0.750 0.931
9 N 0.465 0.508 0.222
10 N 0.465 0.992 0.222
11 N 0.535 0.008 0.778
12 N 0.535 0.492 0.778
13 N 0.944 0.250 0.069
14 N 0.945 0.250 0.661

# 5
## PmNd4Er5 (PBE)

Data for PmNd4Er5 after structural relaxation.

Results
Magnetization in μB/f.u.: 0.0
DOS(E_F) in states/eV/cell: 14.8
ΔE_f in meV per atom: 172

Lattice parameters (Å, degrees): 3.593 9.114 10.513 96.25 90.18 101.05
Sites, in units of the cell vectors:
1 Pm 0.000 0.000 0.000
2 Nd 0.357 0.711 0.757
3 Nd 0.457 0.912 0.244
4 Nd 0.543 0.088 0.756
5 Nd 0.643 0.289 0.243
6 Er 0.000 0.000 0.500
7 Er 0.185 0.372 0.900
8 Er 0.311 0.624 0.410
9 Er 0.689 0.376 0.590
10 Er 0.815 0.628 0.100

# 6
## Sc3FeOs (PBE)

Data for Sc3FeOs after structural relaxation.

Results
Magnetization in μB/f.u.: 2.6
DOS(E_F) in states/eV/cell: 8.6
ΔE_f in meV per atom: 440

Lattice parameters (Å, degrees): 4.983 4.983 4.983 90.00 90.00 90.00
Sites, in units of the cell vectors:
1 Sc 0.000 0.000 0.500
2 Sc 0.000 0.500 0.000
3 Sc 0.500 0.000 0.000
4 Fe 0.500 0.500 0.500
5 Os 0.000 0.000 0.000

# 7
## Ac2CeGe3Rh4 (PBE)

Data for Ac2CeGe3Rh4 after structural relaxation.

Results
Magnetization in μB/f.u.: 0.0
DOS(E_F) in states/eV/cell: 5.7
ΔE_f in meV per atom: -857

Lattice parameters (Å, degrees): 4.371 4.371 10.992 90.00 90.00 90.00
Sites, in units of the cell vectors:
1 Ac 0.000 0.500 0.231
2 Ac 0.500 0.000 0.769
3 Ce 0.000 0.000 0.500
4 Ge 0.000 0.500 0.880
5 Ge 0.500 0.000 0.120
6 Ge 0.500 0.500 0.500
7 Rh 0.000 0.000 0.000
8 Rh 0.000 0.500 0.648
9 Rh 0.500 0.000 0.352
10 Rh 0.500 0.500 0.000

# 8
## Cr4PtRh3 (PBE)

Data for Cr4PtRh3 after structural relaxation.

Results
Magnetization in μB/f.u.: 0.0
DOS(E_F) in states/eV/cell: 15.3
ΔE_f in meV per atom: -119

Lattice parameters (Å, degrees): 8.608 5.364 4.612 90.00 90.00 90.00
Sites, in units of the cell vectors:
1 Cr 0.000 0.245 0.000
2 Cr 0.000 0.755 0.000
3 Cr 0.250 0.245 0.332
4 Cr 0.250 0.755 0.332
5 Cr 0.500 0.245 0.000
6 Cr 0.500 0.755 0.000
7 Cr 0.750 0.245 0.668
8 Cr 0.750 0.755 0.668
9 Pt 0.000 0.500 0.500
10 Pt 0.500 0.500 0.500
11 Rh 0.000 0.000 0.500
12 Rh 0.250 0.000 0.850
13 Rh 0.250 0.500 0.852
14 Rh 0.500 0.000 0.500
15 Rh 0.750 0.000 0.150
16 Rh 0.750 0.500 0.148

# 9
## Li2ZrHg (PBE)

Data for Li2ZrHg after structural relaxation.

Results
Magnetization in μB/f.u.: 0.0
DOS(E_F) in states/eV/cell: 11.7
ΔE_f in meV per atom: 9

Lattice parameters (Å, degrees): 3.046 3.046 30.793 90.00 90.00 120.00
Sites, in units of the cell vectors:
1 Li 0.000 0.000 0.245
2 Li 0.000 0.000 0.755
3 Li 0.333 0.667 0.422
4 Li 0.333 0.667 0.912
5 Li 0.667 0.333 0.088
6 Li 0.667 0.333 0.578
7 Zr 0.000 0.000 0.000
8 Zr 0.333 0.667 0.667
9 Zr 0.667 0.333 0.333
10 Hg 0.000 0.000 0.500
11 Hg 0.333 0.667 0.167
12 Hg 0.667 0.333 0.833

# 10
## Li17Al2 (PBE)

Data for Li17Al2 after structural relaxation.

Results
Magnetization in μB/f.u.: 0.0
DOS(E_F) in states/eV/cell: 8.0
ΔE_f in meV per atom: 29

Lattice parameters (Å, degrees): 7.499 7.499 7.499 66.50 66.50 66.50
Sites, in units of the cell vectors:
1 Li 0.000 0.000 0.500
2 Li 0.000 0.307 0.693
3 Li 0.000 0.500 0.000
4 Li 0.000 0.693 0.307
5 Li 0.099 0.099 0.099
6 Li 0.194 0.562 0.562
7 Li 0.307 0.000 0.693
8 Li 0.307 0.693 0.000
9 Li 0.438 0.438 0.806
10 Li 0.438 0.806 0.438
11 Li 0.500 0.000 0.000
12 Li 0.562 0.194 0.562
13 Li 0.562 0.562 0.194
14 Li 0.693 0.000 0.307
15 Li 0.693 0.307 0.000
16 Li 0.806 0.438 0.438
17 Li 0.901 0.901 0.901
18 Al 0.284 0.284 0.284
19 Al 0.716 0.716 0.716

# 11
## Li2MnN (PBE)

Data for Li2MnN after structural relaxation.

Results
Magnetization in μB/f.u.: 3.6
DOS(E_F) in states/eV/cell: 11.4
Uncorrected formation energy in eV/atom: -0.13

Lattice parameters (Å, degrees): 7.778 7.778 3.687 90.00 90.00 90.00
Sites, in units of the cell vectors:
1 Li 0.098 0.250 0.125
2 Li 0.250 0.598 0.375
3 Li 0.250 0.902 0.875
4 Li 0.402 0.250 0.625
5 Li 0.598 0.750 0.625
6 Li 0.750 0.098 0.875
7 Li 0.750 0.402 0.375
8 Li 0.902 0.750 0.125
9 Mn 0.000 0.000 0.500
10 Mn 0.000 0.500 0.750
11 Mn 0.500 0.000 0.250
12 Mn 0.500 0.500 0.000
13 N 0.000 0.000 0.000
14 N 0.000 0.500 0.250
15 N 0.500 0.000 0.750
16 N 0.500 0.500 0.500

# 12
## Np6PbS12 (PBE)

Data for Np6PbS12 after structural relaxation.

Results
Magnetization in μB/f.u.: 20.1
DOS(E_F) in states/eV/cell: 51.3
Uncorrected formation energy in eV/atom: -1.05

Lattice parameters (Å, degrees): 8.015 8.015 8.015 105.15 105.15 105.15
Sites, in units of the cell vectors:
1 Np 0.245 0.245 0.655
2 Np 0.245 0.655 0.245
3 Np 0.345 0.755 0.755
4 Np 0.655 0.245 0.245
5 Np 0.755 0.345 0.755
6 Np 0.755 0.755 0.345
7 Pb 0.000 0.000 0.000
8 S 0.132 0.500 0.868
9 S 0.132 0.868 0.500
10 S 0.184 0.443 0.443
11 S 0.443 0.184 0.443
12 S 0.443 0.443 0.184
13 S 0.500 0.132 0.868
14 S 0.500 0.868 0.132
15 S 0.557 0.557 0.816
16 S 0.557 0.816 0.557
17 S 0.816 0.557 0.557
18 S 0.868 0.132 0.500
19 S 0.868 0.500 0.132

# 13
## HoTh2Sb4 (PBE)

Data for HoTh2Sb4 after structural relaxation.

Results
Magnetization in μB/f.u.: 0.0
DOS(E_F) in states/eV/cell: 7.5
Uncorrected formation energy in eV/atom: -0.89

Lattice parameters (Å, degrees): 8.109 8.109 8.109 109.73 109.73 108.95
Sites, in units of the cell vectors:
1 Ho 0.000 0.000 0.000
2 Ho 0.750 0.250 0.500
3 Th 0.254 0.125 0.629
4 Th 0.375 0.746 0.871
5 Th 0.496 0.625 0.371
6 Th 0.875 0.504 0.129
7 Sb 0.116 0.372 0.904
8 Sb 0.122 0.366 0.404
9 Sb 0.282 0.878 0.244
10 Sb 0.468 0.212 0.096
11 Sb 0.628 0.532 0.744
12 Sb 0.634 0.038 0.756
13 Sb 0.788 0.884 0.256
14 Sb 0.962 0.718 0.596

# 14
## NaCd2CuHg (PBE)

Data for NaCd2CuHg after structural relaxation.

Results
Magnetization in μB/f.u.: 0.0
DOS(E_F) in states/eV/cell: 1.7
ΔE_f in meV per atom: 46

Lattice parameters (Å, degrees): 5.077 5.077 5.096 90.00 90.00 90.00
Sites, in units of the cell vectors:
1 Na 0.000 0.000 0.000
2 Cd 0.000 0.500 0.500
3 Cd 0.500 0.000 0.500
4 Cu 0.500 0.500 0.500
5 Hg 0.500 0.500 0.000

# 15
## AlZnIrPt (PBE)

Data for AlZnIrPt after structural relaxation.

Results
Magnetization in μB/f.u.: 0.0
DOS(E_F) in states/eV/cell: 0.8
ΔE_f in meV per atom: -708

Lattice parameters (Å, degrees): 3.082 3.082 5.978 90.00 90.00 90.00
Sites, in units of the cell vectors:
1 Al 0.000 0.000 0.000
2 Zn 0.000 0.000 0.509
3 Ir 0.500 0.500 0.764
4 Pt 0.500 0.500 0.250

# 16
## MgSbSeN2 (PBE)

Data for MgSbSeN2 after structural relaxation.

Results
Magnetization in μB/f.u.: 0.5
DOS(E_F) in states/eV/cell: 0.9
Uncorrected formation energy in eV/atom: 0.73

Lattice parameters (Å, degrees): 3.986 3.986 5.808 90.00 90.00 90.00
Sites, in units of the cell vectors:
1 Mg 0.000 0.000 0.000
2 Sb 0.500 0.500 0.500
3 Se 0.500 0.500 0.000
4 N 0.000 0.500 0.500
5 N 0.500 0.000 0.500

# 17
## KMgCuSe2 (PBE)

Data for KMgCuSe2 after structural relaxation.

Results
Magnetization in μB/f.u.: 0.0
DOS(E_F) in states/eV/cell: 0.0
Uncorrected formation energy in eV/atom: -0.92

Lattice parameters (Å, degrees): 7.469 5.583 6.820 90.00 106.14 90.00
Sites, in units of the cell vectors:
1 K 0.000 0.219 0.250
2 K 0.000 0.781 0.750
3 Mg 0.500 0.497 0.750
4 Mg 0.500 0.503 0.250
5 Cu 0.500 0.000 0.000
6 Cu 0.500 0.000 0.500
7 Se 0.274 0.286 0.932
8 Se 0.274 0.714 0.432
9 Se 0.726 0.286 0.568
10 Se 0.726 0.714 0.068

# 18
## CaB2IrRh (PBE)

Data for CaB2IrRh after structural relaxation.

Results
Magnetization in μB/f.u.: 1.1
DOS(E_F) in states/eV/cell: 2.8
ΔE_f in meV per atom: 578

Lattice parameters (Å, degrees): 4.056 4.056 5.134 90.00 90.00 90.00
Sites, in units of the cell vectors:
1 Ca 0.000 0.000 0.000
2 B 0.000 0.500 0.500
3 B 0.500 0.000 0.500
4 Ir 0.500 0.500 0.000
5 Rh 0.500 0.500 0.500

# 19
## EuLuAu (PBE)

Data for EuLuAu after structural relaxation.

Results
Magnetization in μB/f.u.: 7.2
DOS(E_F) in states/eV/cell: 3.2
ΔE_f in meV per atom: -551

Lattice parameters (Å, degrees): 3.658 3.658 12.659 90.00 90.00 90.00
Sites, in units of the cell vectors:
1 Eu 0.000 0.000 0.000
2 Eu 0.500 0.500 0.500
3 Lu 0.000 0.000 0.276
4 Lu 0.500 0.500 0.776
5 Au 0.000 0.000 0.668
6 Au 0.500 0.500 0.168

# 20
## Cr3SbPb (PBE)

Data for Cr3SbPb after structural relaxation.

Results
Magnetization in μB/f.u.: 11.5
DOS(E_F) in states/eV/cell: 2.6
Uncorrected formation energy in eV/atom: 0.98

Lattice parameters (Å, degrees): 5.094 5.094 5.094 90.00 90.00 90.00
Sites, in units of the cell vectors:
1 Cr 0.000 0.000 0.500
2 Cr 0.000 0.500 0.000
3 Cr 0.500 0.000 0.000
4 Sb 0.000 0.000 0.000
5 Pb 0.500 0.500 0.500